Density functional theory data (SCAN) for a PBEsol-optimized structure of NaPbAu3.

Summary:
Calculated volume: 118 Å³/cell
Final energy: -56.95 eV per atom
Energy relative to the elements: 0.541 eV/atom

Lattice parameters (Å, degrees): 4.9092 4.9092 4.9092 90.00 90.00 90.00
Fractional coordinates of all 5 atoms:
Au 0.0000 0.5000 0.0000
Au 0.0000 0.0000 0.5000
Au 0.5000 0.0000 0.0000
Pb 0.5000 0.5000 0.5000
Na 0.0000 0.0000 0.0000